KSbTeOs2 after structural relaxation. Source: the Alexandria database, functional GGA-PBE.

```
KSbTeOs2
1.0
4.941 0.000 0.000
0.000 5.849 0.000
0.000 0.000 4.941
Os Sb K Te
2 1 1 1
Cartesian
2.471 0.000 0.000
0.000 0.000 2.471
0.000 2.924 0.000
2.471 2.924 2.471
0.000 0.000 0.000
```

Properties
- space-group type = No. 123
- raw formation energy (eV/f.u.) = 8.3
- uncorrected energy (eV/atom) = -4.5121
- total moment (μB/atom) = 0.186
- volume (Å³ per cell) = 143



K2ScOs after structural relaxation. Source: the Alexandria database, functional GGA-PBE.

```
K2ScOs
1.0
-1.051 3.088 5.857
4.272 -4.895 -1.655
2.017 1.994 -0.689
K Os Sc
2 1 1
Cartesian
1.611 -0.903 2.101
0.000 0.000 0.000
0.483 2.541 2.584
3.145 -1.451 -1.172
```

Properties
- energy of formation (kJ/mol of formula units) = 447
- space-group type = No. 65
- uncorrected energy (eV/atom) = -3.7807
- total moment (μB/atom) = 0.300
- volume (Å³ per cell) = 99



K2ScOs after structural relaxation. Source: the Alexandria database, functional GGA-PBE.

```
K2ScOs
1.0
6.868 0.011 -0.008
-4.520 5.171 -0.008
0.724 1.598 2.752
Sc K Os
1 2 1
Cartesian
-1.898 3.385 1.372
1.174 2.591 -0.008
0.000 0.000 0.000
3.796 0.804 1.372
```

Properties
- energy of formation (kJ/mol of formula units) = 392
- space-group type = No. 12
- uncorrected energy (eV/atom) = -3.9230
- total moment (μB/atom) = 0.000
- volume (Å³ per cell) = 98